Crystalline La4CdCo at its relaxed geometry, computed with PBE-GGA.

Values from the calculation:
E ... -4.83 eV/atom
Excess energy over the best structure of this formula in the dataset ... 0.00 eV per formula unit
Energy of formation ... -206 meV per atom

abc: 14.099 14.099 14.099
angles: 90.00 90.00 90.00
Space group F-43m (No. 216)
Asymmetric unit:
La 0.000 0.000 0.190
La 0.059 0.250 0.750
La 0.154 0.154 0.346
Cd 0.079 0.079 0.579
Co 0.140 0.140 0.140


Crystalline Zr9ScIn2 at its relaxed geometry, computed with PBE-GGA.

Values from the calculation:
E ... -7.55 eV/atom
Energy of formation ... -151 meV per atom

abc: 4.493 4.493 13.508
angles: 90.00 90.00 90.00
Space group P4/mmm (No. 123)
Asymmetric unit:
Zr 0.000 0.000 0.000
Zr 0.000 0.000 0.337
Zr 0.000 0.500 0.168
Zr 0.000 0.500 0.500
Sc 0.500 0.500 0.000
In 0.500 0.500 0.334


Crystalline ZrPt3F at its relaxed geometry, computed with PBE-GGA.

Values from the calculation:
Raw formation energy ... 0.053 eV/atom
E ... -5.66 eV/atom
Excess energy over the best structure of this formula in the dataset ... 0.00 eV per formula unit

abc: 4.396 4.396 4.396
angles: 90.00 90.00 90.00
Space group Pm-3m (No. 221)
Asymmetric unit:
Zr 0.000 0.000 0.000
Pt 0.000 0.500 0.500
F 0.500 0.500 0.500


Crystalline MgZrP at its relaxed geometry, computed with PBE-GGA.

Values from the calculation:
E ... -5.64 eV/atom
Excess energy over the best structure of this formula in the dataset ... 0.15 eV per formula unit
Energy of formation ... -458 meV per atom

abc: 3.321 3.321 10.864
angles: 90.00 90.00 90.00
Space group I4mm (No. 107)
Asymmetric unit:
Mg 0.000 0.000 0.000
Zr 0.000 0.000 0.723
P 0.000 0.000 0.339


Crystalline LiCa2Mo at its relaxed geometry, computed with PBE-GGA.

Values from the calculation:
E ... -3.55 eV/atom
Excess energy over the best structure of this formula in the dataset ... 0.29 eV per formula unit
Energy of formation ... 639 meV per atom

abc: 7.513 7.513 7.513
angles: 90.00 90.00 90.00
Space group Fm-3m (No. 225)
Asymmetric unit:
Li 0.000 0.000 0.000
Ca 0.250 0.250 0.250
Mo 0.000 0.000 0.500


Crystalline TlPbI2F at its relaxed geometry, computed with PBE-GGA.

Values from the calculation:
Raw formation energy ... -1.077 eV/atom
E ... -3.29 eV/atom

abc: 6.448 6.448 4.708
angles: 90.00 90.00 90.00
Space group P4/mmm (No. 123)
Asymmetric unit:
Tl 0.000 0.000 0.000
Pb 0.500 0.500 0.500
I 0.000 0.500 0.500
F 0.500 0.500 0.000


Crystalline IrOs2W at its relaxed geometry, computed with PBE-GGA.

Values from the calculation:
E ... -11.03 eV/atom
Excess energy over the best structure of this formula in the dataset ... 0.64 eV per formula unit
Energy of formation ... 38 meV per atom

abc: 2.753 3.881 5.554
angles: 90.00 90.00 90.00
Space group Pmmm (No. 47)
Asymmetric unit:
Ir 0.000 0.000 0.000
Os 0.500 0.500 0.245
W 0.000 0.000 0.500


Crystalline KSnB at its relaxed geometry, computed with PBE-GGA.

Values from the calculation:
E ... -3.70 eV/atom
Energy of formation ... 223 meV per atom

abc: 14.006 5.179 5.092
angles: 90.00 101.10 90.00
Space group C2/m (No. 12)
Asymmetric unit:
K 0.157 0.000 0.182
Sn 0.064 0.500 0.771
B 0.000 0.152 0.500


Crystalline Tm4InAg2Pd at its relaxed geometry, computed with PBE-GGA.

Values from the calculation:
E ... -4.46 eV/atom
Energy of formation ... -520 meV per atom

abc: 5.0825 5.0825 24.8292
angles: 90.00 90.00 120.00
Space group R-3m (No. 166, hexagonal axes)
Asymmetric unit:
Tm 0.0000 0.0000 0.1175
Tm 0.0000 0.0000 0.3694
In 0.0000 0.0000 0.5000
Ag 0.0000 0.0000 0.2434
Pd 0.0000 0.0000 0.0000


Crystalline ZnCrSi2 at its relaxed geometry, computed with PBE-GGA.

Values from the calculation:
Raw formation energy ... 0.439 eV/atom
E ... -5.00 eV/atom

abc: 6.165 6.165 6.165
angles: 90.00 90.00 90.00
Space group F-43m (No. 216)
Asymmetric unit:
Zn 0.000 0.000 0.000
Cr 0.250 0.250 0.750
Si 0.000 0.000 0.500
Si 0.250 0.250 0.250


Crystalline CaBi3Pd3 at its relaxed geometry, computed with PBE-GGA.

Values from the calculation:
E ... -4.62 eV/atom
Excess energy over the best structure of this formula in the dataset ... 0.00 eV per formula unit
Energy of formation ... -441 meV per atom

abc: 9.644 9.969 7.017
angles: 90.00 97.35 90.00
Space group C2/m (No. 12)
Asymmetric unit:
Ca 0.231 0.000 0.032
Bi 0.000 0.255 0.000
Bi 0.000 0.317 0.500
Bi 0.174 0.000 0.505
Pd 0.052 0.500 0.205
Pd 0.248 0.264 0.279


Crystalline Tm2Sc at its relaxed geometry, computed with PBE-GGA.

Values from the calculation:
E ... -5.05 eV/atom
Excess energy over the best structure of this formula in the dataset ... 0.00 eV per formula unit
Energy of formation ... 46 meV per atom

abc: 3.426 3.426 14.368
angles: 90.00 90.00 90.00
Space group I4/mmm (No. 139)
Asymmetric unit:
Tm 0.000 0.000 0.162
Sc 0.000 0.000 0.500


Crystalline In2GeP2 at its relaxed geometry, computed with PBE-GGA.

Values from the calculation:
E ... -3.94 eV/atom
Excess energy over the best structure of this formula in the dataset ... 0.09 eV per formula unit
Energy of formation ... 247 meV per atom

abc: 3.440 3.440 17.926
angles: 90.00 90.00 90.00
Space group I4/mmm (No. 139)
Asymmetric unit:
In 0.000 0.000 0.106
Ge 0.000 0.000 0.500
P 0.000 0.500 0.250